#i
A plane-wave DFT calculation with GGA-PBE was carried out for LaHf2Rh after structural relaxation.

## Properties
M_tot (μB per formula unit): 0.00
Density of states at the Fermi level (states/eV/atom): 1.443

Geometry as POSCAR:
```
LaHf2Rh
1.0
-2.055 2.055 11.059
2.055 -2.055 11.059
2.055 2.055 -11.059
La Hf Rh
2 4 2
Cartesian
0.000 0.000 0.000 La
0.000 2.055 5.529 La
1.028 -0.977 8.294 Hf
1.079 1.028 2.765 Hf
1.028 3.032 -2.765 Hf
0.977 1.028 13.824 Hf
2.055 0.000 5.529 Rh
0.000 0.000 11.059 Rh
```



#ii
A plane-wave DFT calculation with GGA-PBE was carried out for LaHf2Rh after structural relaxation.

## Properties
M_tot (μB per formula unit): 0.00
Density of states at the Fermi level (states/eV/atom): 1.094

Geometry as POSCAR:
```
LaHf2Rh
1.0
0.000 3.450 3.450
3.450 0.000 3.450
3.450 3.450 0.000
La Hf Rh
1 2 1
Cartesian
0.000 0.000 0.000 La
1.725 1.725 1.725 Hf
5.175 5.175 5.175 Hf
3.450 3.450 3.450 Rh
```



It is #ii that is the most stable of them.



#i
A plane-wave DFT calculation with GGA-PBE was carried out for LaHf3Rh after structural relaxation.

## Properties
M_tot (μB per formula unit): 0.00
Density of states at the Fermi level (states/eV/atom): 0.758

Geometry as POSCAR:
```
LaHf3Rh
1.0
5.074 0.000 0.000
0.000 5.074 0.000
0.000 0.000 5.074
La Hf Rh
1 3 1
Cartesian
0.000 0.000 0.000 La
0.000 2.537 2.537 Hf
2.537 0.000 2.537 Hf
2.537 2.537 0.000 Hf
2.537 2.537 2.537 Rh
```



#ii
A plane-wave DFT calculation with GGA-PBE was carried out for LaHf3Rh after structural relaxation.

## Properties
M_tot (μB per formula unit): 0.00
Density of states at the Fermi level (states/eV/atom): 1.269

Geometry as POSCAR:
```
LaHf3Rh
1.0
5.045 0.000 0.000
0.000 5.045 0.000
0.000 0.000 5.045
La Hf Rh
1 3 1
Cartesian
0.000 0.000 0.000 La
0.000 0.000 2.523 Hf
0.000 2.523 0.000 Hf
2.523 0.000 0.000 Hf
2.523 2.523 2.523 Rh
```



It is #i that is the most stable of them.



#i
A plane-wave DFT calculation with GGA-PBE was carried out for LaHfRh after structural relaxation.

## Properties
M_tot (μB per formula unit): 0.00
Density of states at the Fermi level (states/eV/atom): 1.338

Geometry as POSCAR:
```
LaHfRh
1.0
-1.698 1.698 6.167
1.698 -1.698 6.167
1.698 1.698 -6.167
La Hf Rh
1 1 1
Cartesian
0.000 0.000 0.000 La
0.000 0.000 3.470 Hf
0.000 0.000 8.447 Rh
```



#ii
A plane-wave DFT calculation with GGA-PBE was carried out for LaHfRh after structural relaxation.

## Properties
M_tot (μB per formula unit): 0.00
Density of states at the Fermi level (states/eV/atom): 0.939

Geometry as POSCAR:
```
LaHfRh
1.0
4.670 0.000 0.000
0.000 4.670 0.000
0.000 0.000 6.748
La Hf Rh
2 2 2
Cartesian
1.167 1.167 0.821 La
3.502 3.502 5.927 La
1.167 3.502 3.374 Hf
3.502 1.167 3.374 Hf
1.167 1.167 4.688 Rh
3.502 3.502 2.060 Rh
```



It is #ii that is the most stable of them.



#i
A plane-wave DFT calculation with GGA-PBE was carried out for La2HfRu after structural relaxation.

## Properties
M_tot (μB per formula unit): 0.00
Density of states at the Fermi level (states/eV/atom): 1.673

Geometry as POSCAR:
```
La2HfRu
1.0
0.000 3.684 3.684
3.684 0.000 3.684
3.684 3.684 0.000
La Hf Ru
2 1 1
Cartesian
1.842 1.842 1.842 La
5.527 5.527 5.527 La
0.000 0.000 0.000 Hf
3.684 3.684 3.684 Ru
```



#ii
A plane-wave DFT calculation with GGA-PBE was carried out for La2HfRu after structural relaxation.

## Properties
M_tot (μB per formula unit): 0.00
Density of states at the Fermi level (states/eV/atom): 1.276

Geometry as POSCAR:
```
La2HfRu
1.0
-4.294 4.294 2.970
4.294 -4.294 2.970
4.294 4.294 -2.970
La Hf Ru
4 2 2
Cartesian
6.441 1.547 -0.742 La
1.547 2.147 0.742 La
-2.147 2.747 2.227 La
2.747 2.147 3.712 La
4.294 0.000 1.485 Hf
0.000 0.000 2.970 Hf
0.000 0.000 0.000 Ru
0.000 4.294 1.485 Ru
```



It is #ii that is the most stable of them.